This record from the Alexandria database describes Tl2MoCl after structural relaxation. The functional is GGA-PBEsol.

Results
For the mass density, the calculation gives 10.0 g/cm3. As for the formation energy without anion corrections: 0.453 eV per atom. The value obtained for the volume is 89.3 Å³/cell. The space group is P2/m, No. 10.

Lattice parameters (Å, degrees): 2.9847 5.1574 5.8009 90.41 90.00 90.00
Last column: nearest neighbours and their distance in Å.
Sites, in units of the cell vectors:
Tl 0.0000 0.0000 0.0000  2 Mo 2.90, 4 Cl 2.98, 2 Tl 2.98
Tl 0.5000 0.5000 0.5000  2 Cl 2.90, 4 Mo 2.98, 2 Tl 2.98
Mo 0.0000 0.0000 0.5000  6 Tl 2.90-2.98, 2 Mo 2.98
Cl 0.5000 0.5000 0.0000  6 Tl 2.90-2.98, 2 Cl 2.98